Entry from Alexandria via LeMat-Bulk: a relaxed structure of LaTaFeF2 (PBE+U).

Properties
* magnetic moment: 1.82 μB/cell
* energy: -5.6375 eV per atom
* space group: P4/mmm

a = 4.313 Å, b = 5.117 Å, c = 4.313 Å
α = 90.00°, β = 90.00°, γ = 90.00°
Atoms (fractional coordinates):
F  0.000  0.000  0.500
F  0.500  0.000  0.000
La  0.500  0.500  0.500
Fe  0.000  0.000  0.000
Ta  0.000  0.500  0.000